Entry 1:
Compound: HgOsNO
Source: OQMD
Functional: PBE
Structure: relaxed

Space group   P4/nmm, No. 129
Size of the total moment   1.556 Bohr magnetons per cell

Geometry as POSCAR:
```
HgOsNO
1.0
2.8914 -2.8948 0.0000
2.8914 2.8948 0.0000
0.0000 0.0000 8.5924
O Os N Hg
2 2 2 2
Cartesian
1.4457 0.0000 0.0000 O
4.3371 0.0000 0.0000 O
2.8914 1.4474 7.8926 Os
2.8914 -1.4474 0.6998 Os
2.8914 -1.4474 2.3975 N
2.8914 1.4474 6.1950 N
4.3371 0.0000 4.2962 Hg
1.4457 0.0000 4.2962 Hg
```

Entry 2:
Compound: HgOsNO
Source: OQMD
Functional: PBE
Structure: relaxed

Space group   Pmc2_1, No. 26
Size of the total moment   0.007 Bohr magnetons per cell

Geometry as POSCAR:
```
HgOsNO
1.0
3.0735 0.0000 0.0000
0.0000 5.8255 0.0000
0.0000 0.0000 7.0125
Hg Os O N
2 2 2 2
Cartesian
0.0000 3.7063 3.1635 Hg
0.0000 2.1192 6.6698 Hg
1.5367 0.3542 3.5570 Os
1.5367 5.4713 0.0507 Os
1.5367 0.4893 1.6906 O
1.5367 5.3362 5.1968 O
0.0000 1.4498 3.8328 N
0.0000 4.3757 0.3266 N
```

Entry 3:
Compound: HgOsNO
Source: OQMD
Functional: PBE
Structure: relaxed

Space group   Pm, No. 6
Size of the total moment   0.024 Bohr magnetons per cell

Geometry as POSCAR:
```
HgOsNO
1.0
2.5154 0.8655 0.8186
0.7112 -5.0868 3.1929
3.3286 -3.6057 -6.4160
Os N O Hg
2 2 2 2
Cartesian
1.6126 -3.9162 -0.8147 Os
2.0700 -2.2481 -3.9839 Os
1.8641 -3.1289 -2.4199 N
2.1952 -5.6273 -0.7956 N
2.2820 -2.8180 0.6990 O
4.6184 -7.5101 -1.5198 O
1.6928 -0.0435 -0.4240 Hg
4.5051 -5.2441 -3.5673 Hg
```

Computed V, in the same sequence as the records: 17.98, 15.69, 17.00 Å³ per atom.
Computed DFT total energy, in the same sequence as the records: -45.19, -48.81, -49.23 eV per cell.